# 1
First-principles (PBE-GGA) data for a relaxed Y2HO3 crystal, as listed in Alexandria via LeMat-Bulk.

Summary:
Fermi-level density of states: 0.0000 states/eV per atom
Electronic total energy: -7.96 eV per atom
ρ: 5.4 g/cm3
Magnetization: 0.00 Bohr magnetons per cell

```
data_Y2HO3
_chemical_formula_sum 'Y8 H4 O12'
_cell_length_a 3.377
_cell_length_b 9.132
_cell_length_c 9.110
_cell_angle_alpha 90.01
_cell_angle_beta 90.50
_cell_angle_gamma 90.01
_space_group_name_H-M_alt 'P 1'
_space_group_IT_number 1
loop_
_space_group_symop_operation_xyz
'x,y,z'
loop_
_atom_site_label
_atom_site_type_symbol
_atom_site_fract_x
_atom_site_fract_y
_atom_site_fract_z
Y1 Y 0.722 0.019 0.692
Y2 Y 0.233 0.034 0.331
Y3 Y 0.750 0.332 0.524
Y4 Y 0.262 0.812 0.001
Y5 Y 0.750 0.168 0.024
Y6 Y 0.263 0.688 0.501
Y7 Y 0.233 0.466 0.831
Y8 Y 0.722 0.481 0.192
O1 O 0.784 0.622 0.976
O2 O 0.423 0.705 0.252
O3 O 0.767 0.921 0.130
O4 O 0.741 0.301 0.801
O5 O 0.208 0.034 0.874
O6 O 0.784 0.878 0.476
O7 O 0.423 0.795 0.753
O8 O 0.241 0.366 0.062
O9 O 0.209 0.466 0.374
O10 O 0.240 0.134 0.562
O11 O 0.767 0.579 0.631
O12 O 0.741 0.199 0.301
H1 H 0.252 0.109 0.125
H2 H 0.617 0.713 0.731
H3 H 0.616 0.787 0.231
H4 H 0.252 0.391 0.625
```

# 2
First-principles (PBE-GGA) data for a relaxed TmLuCdPd crystal, as listed in Alexandria via LeMat-Bulk.

Summary:
Fermi-level density of states: 0.4613 states/eV per atom
Electronic total energy: -4.36 eV per atom
ρ: 10.3 g/cm3
Formation enthalpy at 0 K: -0.582 eV per atom
Magnetization: 0.00 Bohr magnetons per cell

```
data_TmLuCdPd
_chemical_formula_sum 'Tm1 Lu1 Cd1 Pd1'
_cell_length_a 5.039
_cell_length_b 5.039
_cell_length_c 5.039
_cell_angle_alpha 60.00
_cell_angle_beta 60.00
_cell_angle_gamma 60.00
_space_group_name_H-M_alt 'P 1'
_space_group_IT_number 1
loop_
_space_group_symop_operation_xyz
'x,y,z'
loop_
_atom_site_label
_atom_site_type_symbol
_atom_site_fract_x
_atom_site_fract_y
_atom_site_fract_z
Pd1 Pd 0.250 0.250 0.250
Tm1 Tm 0.500 0.500 0.500
Cd1 Cd 0.750 0.750 0.750
Lu1 Lu 0.000 0.000 0.000
```

# 3
First-principles (PBE-GGA) data for a relaxed Be2NiBr crystal, as listed in Alexandria via LeMat-Bulk.

Summary:
Fermi-level density of states: 0.4953 states/eV per atom
Electronic total energy: -2.80 eV per atom
ρ: 5.1 g/cm3
Formation energy without anion corrections: 0.92 eV/atom
Magnetization: 0.00 Bohr magnetons per cell

```
data_Be2NiBr
_chemical_formula_sum 'Be2 Ni1 Br1'
_cell_length_a 4.150
_cell_length_b 4.150
_cell_length_c 4.150
_cell_angle_alpha 60.00
_cell_angle_beta 60.00
_cell_angle_gamma 60.00
_space_group_name_H-M_alt 'P 1'
_space_group_IT_number 1
loop_
_space_group_symop_operation_xyz
'x,y,z'
loop_
_atom_site_label
_atom_site_type_symbol
_atom_site_fract_x
_atom_site_fract_y
_atom_site_fract_z
Ni1 Ni 0.000 0.000 0.000
Be1 Be 0.250 0.250 0.250
Be2 Be 0.750 0.750 0.750
Br1 Br 0.500 0.500 0.500
```

# 4
First-principles (PBE-GGA) data for a relaxed Na2SbIr crystal, as listed in Alexandria via LeMat-Bulk.

Summary:
Fermi-level density of states: 0.3675 states/eV per atom
Electronic total energy: -3.78 eV per atom
ρ: 3.8 g/cm3
Formation energy without anion corrections: 0.12 eV/atom
Magnetization: 0.00 Bohr magnetons per cell

```
data_Na2SbIr
_chemical_formula_sum 'Na4 Sb2 Ir2'
_cell_length_a 11.342
_cell_length_b 11.342
_cell_length_c 8.390
_cell_angle_alpha 47.47
_cell_angle_beta 47.47
_cell_angle_gamma 90.00
_space_group_name_H-M_alt 'P 1'
_space_group_IT_number 1
loop_
_space_group_symop_operation_xyz
'x,y,z'
loop_
_atom_site_label
_atom_site_type_symbol
_atom_site_fract_x
_atom_site_fract_y
_atom_site_fract_z
Ir1 Ir 0.000 0.000 0.000
Ir2 Ir 0.750 0.250 0.500
Sb1 Sb 0.250 0.750 0.500
Sb2 Sb 0.500 0.500 0.000
Na1 Na 0.375 0.125 0.750
Na2 Na 0.875 0.125 0.750
Na3 Na 0.875 0.125 0.250
Na4 Na 0.875 0.625 0.250
```

# 5
First-principles (PBE-GGA) data for a relaxed Sm5In2Ge2 crystal, as listed in Alexandria via LeMat-Bulk.

Summary:
Fermi-level density of states: 0.8991 states/eV per atom
Electronic total energy: -4.86 eV per atom
ρ: 7.4 g/cm3
Formation enthalpy at 0 K: -0.603 eV per atom
Magnetization: 0.00 Bohr magnetons per cell

```
data_Sm5In2Ge2
_chemical_formula_sum 'Sm10 In4 Ge4'
_cell_length_a 7.905
_cell_length_b 7.955
_cell_length_c 8.956
_cell_angle_alpha 90.00
_cell_angle_beta 63.81
_cell_angle_gamma 90.00
_space_group_name_H-M_alt 'P 1'
_space_group_IT_number 1
loop_
_space_group_symop_operation_xyz
'x,y,z'
loop_
_atom_site_label
_atom_site_type_symbol
_atom_site_fract_x
_atom_site_fract_y
_atom_site_fract_z
Sm1 Sm 0.500 0.500 0.000
Sm2 Sm 0.056 0.678 0.254
Sm3 Sm 0.309 0.678 0.746
Sm4 Sm 0.691 0.322 0.254
Sm5 Sm 0.191 0.178 0.254
Sm6 Sm 0.444 0.178 0.746
Sm7 Sm 0.809 0.822 0.746
Sm8 Sm 0.000 0.000 0.000
Sm9 Sm 0.556 0.822 0.254
Sm10 Sm 0.944 0.322 0.746
Ge1 Ge 0.623 0.126 0.000
Ge2 Ge 0.877 0.626 0.000
Ge3 Ge 0.123 0.374 0.000
Ge4 Ge 0.377 0.874 0.000
In1 In 0.719 0.500 0.563
In2 In 0.219 0.000 0.563
In3 In 0.281 0.500 0.437
In4 In 0.781 0.000 0.437
```

# 6
First-principles (PBE-GGA) data for a relaxed NdDy3Y2S6 crystal, as listed in Alexandria via LeMat-Bulk.

Summary:
Fermi-level density of states: 0.4173 states/eV per atom
Electronic total energy: -6.69 eV per atom
ρ: 6.4 g/cm3
Formation energy without anion corrections: -2.00 eV/atom
Magnetization: 0.00 Bohr magnetons per cell

```
data_NdDy3Y2S6
_chemical_formula_sum 'Nd1 Dy3 Y2 S6'
_cell_length_a 6.824
_cell_length_b 6.824
_cell_length_c 6.822
_cell_angle_alpha 99.57
_cell_angle_beta 99.57
_cell_angle_gamma 120.18
_space_group_name_H-M_alt 'P 1'
_space_group_IT_number 1
loop_
_space_group_symop_operation_xyz
'x,y,z'
loop_
_atom_site_label
_atom_site_type_symbol
_atom_site_fract_x
_atom_site_fract_y
_atom_site_fract_z
Y1 Y 0.666 0.334 0.000
Y2 Y 0.334 0.666 0.000
Dy1 Dy 0.163 0.837 0.500
Dy2 Dy 0.500 0.500 0.500
Dy3 Dy 0.837 0.163 0.500
Nd1 Nd 0.000 0.000 0.000
S1 S 0.086 0.427 0.257
S2 S 0.914 0.573 0.743
S3 S 0.573 0.914 0.743
S4 S 0.257 0.257 0.746
S5 S 0.743 0.743 0.254
S6 S 0.427 0.086 0.257
```

# 7
First-principles (PBE-GGA) data for a relaxed SmHoMgAg crystal, as listed in Alexandria via LeMat-Bulk.

Summary:
Fermi-level density of states: 0.9652 states/eV per atom
Electronic total energy: -3.62 eV per atom
ρ: 7.2 g/cm3
Formation enthalpy at 0 K: -0.184 eV per atom
Magnetization: 0.00 Bohr magnetons per cell

```
data_SmHoMgAg
_chemical_formula_sum 'Sm1 Ho1 Mg1 Ag1'
_cell_length_a 3.753
_cell_length_b 3.753
_cell_length_c 7.362
_cell_angle_alpha 90.00
_cell_angle_beta 90.00
_cell_angle_gamma 90.00
_space_group_name_H-M_alt 'P 1'
_space_group_IT_number 1
loop_
_space_group_symop_operation_xyz
'x,y,z'
loop_
_atom_site_label
_atom_site_type_symbol
_atom_site_fract_x
_atom_site_fract_y
_atom_site_fract_z
Ho1 Ho 0.000 0.000 0.346
Sm1 Sm 0.000 0.000 0.863
Mg1 Mg 0.500 0.500 0.598
Ag1 Ag 0.500 0.500 0.120
```

# 8
First-principles (PBE-GGA) data for a relaxed TiCuPb3 crystal, as listed in Alexandria via LeMat-Bulk.

Summary:
Fermi-level density of states: 0.9678 states/eV per atom
Electronic total energy: -3.99 eV per atom
ρ: 7.7 g/cm3
Formation enthalpy at 0 K: 0.628 eV per atom
Magnetization: 0.00 Bohr magnetons per cell

```
data_TiCuPb3
_chemical_formula_sum 'Ti1 Cu1 Pb3'
_cell_length_a 5.419
_cell_length_b 5.419
_cell_length_c 5.419
_cell_angle_alpha 90.00
_cell_angle_beta 90.00
_cell_angle_gamma 90.00
_space_group_name_H-M_alt 'P 1'
_space_group_IT_number 1
loop_
_space_group_symop_operation_xyz
'x,y,z'
loop_
_atom_site_label
_atom_site_type_symbol
_atom_site_fract_x
_atom_site_fract_y
_atom_site_fract_z
Pb1 Pb 0.000 0.500 0.000
Pb2 Pb 0.000 0.000 0.500
Pb3 Pb 0.500 0.000 0.000
Cu1 Cu 0.500 0.500 0.500
Ti1 Ti 0.000 0.000 0.000
```